1.
{"formula": "Au3Se", "functional": "PBE", "state": "optimized geometry", "lattice": [[1.841, 5.531, 0.152], [-2.795, -0.837, -5.048], [-4.092, 1.306, 2.049]], "species": ["Au", "Au", "Au", "Au", "Au", "Au", "Se", "Se"], "fractional_positions": [[0.188, 0.812, 0.750], [0.812, 0.188, 0.250], [0.700, 0.870, 0.750], [0.300, 0.130, 0.250], [0.870, 0.700, 0.250], [0.130, 0.300, 0.750], [0.643, 0.357, 0.750], [0.357, 0.643, 0.250]], "formation_energy_uncorrected_kj_per_mol_atoms": 20.5, "dos_at_fermi_per_ev_atom": 0.351, "density_g_cm3": 14.5, "final_energy_ev_per_cell": -24.9, "sg": "Cmcm"}

2.
{"formula": "Au2Se", "functional": "PBE", "state": "optimized geometry", "lattice": [[1.522, 7.104, 0.025], [-1.522, 7.104, 0.025], [0.000, 3.413, 6.121]], "species": ["Au", "Au", "Au", "Au", "Se", "Se"], "fractional_positions": [[0.019, 0.019, 0.983], [0.344, 0.344, 0.321], [0.670, 0.670, 0.646], [0.600, 0.600, 0.290], [0.932, 0.932, 0.533], [0.268, 0.268, 0.061]], "formation_energy_uncorrected_kj_per_mol_atoms": 19.8, "dos_at_fermi_per_ev_atom": 0.358, "density_g_cm3": 11.9, "final_energy_ev_per_cell": -18.8, "sg": "Cm"}

3.
{"formula": "AuSe2", "functional": "PBE", "state": "optimized geometry", "lattice": [[-0.521, 4.409, -4.370], [-2.718, -5.121, 2.277], [-2.950, 3.124, 3.504]], "species": ["Au", "Au", "Se", "Se", "Se", "Se"], "fractional_positions": [[0.661, 0.339, 0.750], [0.339, 0.661, 0.250], [0.011, 0.989, 0.750], [0.310, 0.690, 0.750], [0.690, 0.310, 0.250], [0.989, 0.011, 0.250]], "formation_energy_uncorrected_kj_per_mol_atoms": 1.3, "dos_at_fermi_per_ev_atom": 0.605, "density_g_cm3": 9.2, "final_energy_ev_per_cell": -20.4, "sg": "Cmcm"}